Entry from Alexandria: a relaxed structure of CaTaSe2 (PBEsol).

a b c (Å): 3.5203 4.3200 6.7072
angles (deg): 103.89 90.00 114.04
With the nearest neighbours (Å) after each atom.
Fractional positions:
Se (0.0266, 0.0533, 0.9877)  2 Ta 2.62
Se (0.1802, 0.3605, 0.5573)  3 Ta 2.49-2.55
Ta (0.5064, 0.0128, 0.6940)  5 Se 2.49-2.62
Ca (0.7867, 0.5735, 0.2610)  6 Se 2.94-3.22

As for the space group: Cm. The density of states at the Fermi level comes out at 2.66 states/eV per cell. The value obtained for the energy above the most stable polymorph in this dataset is 0.122 eV per atom. The energy relative to the elements, uncorrected is -0.81 eV per atom.